1.
VASP calculation (PBE) on an optimized crystal structure of CrIrRu2.

a = 4.324 Å, b = 4.324 Å, c = 4.324 Å
α = 60.00°, β = 60.00°, γ = 60.00°
Site moments in Bohr magnetons follow the coordinates.
Fractional coordinates of all 4 atoms:
Cr 0.500 0.500 0.500  -2.45
Ir 0.750 0.750 0.750  0.12
Ru 0.000 0.000 0.000  0.97
Ru 0.250 0.250 0.250  0.45

Summary:
Its volume is 14.29 Å³ per atom. The crystal system is cubic. The calculation puts the polymorph energy (0 for the lowest one) at 1.89 eV/f.u. As for the calculated density: 12.97 g/cm3. The calculation puts the formation energy from the elements at 0.397 eV per atom.

=====

2.
VASP calculation (PBE) on an optimized crystal structure of CrIr2Ru.

a = 2.711 Å, b = 4.647 Å, c = 5.405 Å
α = 54.63°, β = 90.00°, γ = 90.00°
Site moments in Bohr magnetons follow the coordinates.
Fractional coordinates of all 4 atoms:
Cr 0.000 0.000 0.500  1.65
Ir 0.000 0.000 0.000  0.00
Ir 0.500 0.500 0.000  -0.12
Ru 0.500 0.500 0.500  -0.29

Summary:
Its volume is 13.88 Å³ per atom. The crystal system is monoclinic. The calculation puts the polymorph energy (0 for the lowest one) at 0.39 eV/f.u. As for the calculated density: 16.07 g/cm3. The calculation puts the formation energy from the elements at -0.082 eV per atom.

=====

3.
VASP calculation (PBE) on an optimized crystal structure of CrIr2Ru.

a = 2.703 Å, b = 2.703 Å, c = 7.527 Å
α = 90.00°, β = 90.00°, γ = 89.99°
Site moments in Bohr magnetons follow the coordinates.
Fractional coordinates of all 4 atoms:
Cr 0.500 0.500 0.751  0.13
Ir 0.000 0.000 0.984  -0.01
Ir 0.500 0.500 0.256  0.00
Ru 0.000 0.000 0.508  -0.01

Summary:
Its volume is 13.75 Å³ per atom. The crystal system is tetragonal. The calculation puts the polymorph energy (0 for the lowest one) at 0.61 eV/f.u. As for the calculated density: 16.23 g/cm3. The calculation puts the formation energy from the elements at -0.028 eV per atom.

=====

4.
VASP calculation (PBE) on an optimized crystal structure of CrIrRu2.

a = 4.635 Å, b = 4.635 Å, c = 4.640 Å
α = 79.79°, β = 79.79°, γ = 33.77°
Site moments in Bohr magnetons follow the coordinates.
Fractional coordinates of all 4 atoms:
Cr 0.750 0.750 0.750  0.69
Ir 0.250 0.250 0.250  -0.03
Ru 0.004 0.004 0.991  -0.09
Ru 0.496 0.496 0.509  -0.09

Summary:
Its volume is 13.61 Å³ per atom. The crystal system is monoclinic. The calculation puts the polymorph energy (0 for the lowest one) at 0.30 eV/f.u. As for the calculated density: 13.61 g/cm3. The calculation puts the formation energy from the elements at 0.001 eV per atom.

=====

5.
VASP calculation (PBE) on an optimized crystal structure of CrIr2Ru.

a = 8.867 Å, b = 8.867 Å, c = 8.867 Å
α = 17.54°, β = 17.54°, γ = 17.54°
Fractional coordinates of all 4 atoms:
Cr 0.750 0.750 0.750
Ir 0.004 0.004 0.004
Ir 0.249 0.249 0.249
Ru 0.497 0.497 0.497

Summary:
Its volume is 13.81 Å³ per atom. The crystal system is trigonal. The calculation puts the polymorph energy (0 for the lowest one) at 0.84 eV/f.u. As for the calculated density: 16.15 g/cm3. The calculation puts the formation energy from the elements at 0.031 eV per atom.

=====

6.
VASP calculation (PBE) on an optimized crystal structure of Cr2Ir7Ru2.

a = 4.262 Å, b = 6.605 Å, c = 6.605 Å
α = 77.83°, β = 108.11°, γ = 108.11°
Site moments in Bohr magnetons follow the coordinates.
Fractional coordinates of all 11 atoms:
Cr 0.500 0.236 0.764  0.06
Cr 0.500 0.764 0.236  0.06
Ir 0.201 0.996 0.403  -0.01
Ir 0.799 0.597 0.004  -0.01
Ir 0.799 0.004 0.597  -0.01
Ir 0.201 0.403 0.996  -0.01
Ir 0.000 0.000 0.000  -0.01
Ir 0.839 0.576 0.576  -0.01
Ir 0.161 0.424 0.424  -0.01
Ru 0.672 0.173 0.173  -0.01
Ru 0.328 0.827 0.827  -0.01

Summary:
Its volume is 15.15 Å³ per atom. The crystal system is monoclinic. As for the calculated density: 16.46 g/cm3. The calculation puts the formation energy from the elements at 0.301 eV per atom.

=====

7.
VASP calculation (PBE) on an optimized crystal structure of CrIrRu2.

a = 3.693 Å, b = 3.693 Å, c = 9.112 Å
α = 78.31°, β = 78.31°, γ = 90.00°
Fractional coordinates of all 8 atoms:
Ru 0.608 0.125 0.250
Ru 0.142 0.625 0.250
Ru 0.375 0.392 0.750
Ru 0.875 0.858 0.750
Ir 0.000 0.000 0.000
Ir 0.750 0.250 0.500
Cr 0.500 0.500 0.000
Cr 0.250 0.750 0.500

Summary:
Its volume is 14.88 Å³ per atom. The crystal system is tetragonal. The calculation puts the polymorph energy (0 for the lowest one) at 2.60 eV/f.u. As for the calculated density: 12.45 g/cm3. The calculation puts the formation energy from the elements at 0.576 eV per atom.

=====

8.
VASP calculation (PBE) on an optimized crystal structure of Cr2IrRu.

a = 4.635 Å, b = 4.635 Å, c = 4.635 Å
α = 132.80°, β = 132.80°, γ = 68.96°
Site moments in Bohr magnetons follow the coordinates.
Fractional coordinates of all 4 atoms:
Cr 0.000 0.000 0.000  0.97
Cr 0.250 0.750 0.500  -0.82
Ir 0.500 0.500 0.000  0.05
Ru 0.750 0.250 0.500  -0.03

Summary:
Its volume is 13.16 Å³ per atom. The crystal system is tetragonal. As for the calculated density: 12.54 g/cm3. The calculation puts the formation energy from the elements at -0.022 eV per atom.

=====

9.
VASP calculation (PBE) on an optimized crystal structure of Cr3Ir2Ru2.

a = 6.352 Å, b = 6.352 Å, c = 6.353 Å
α = 109.47°, β = 109.47°, γ = 109.47°
Site moments in Bohr magnetons follow the coordinates.
Fractional coordinates of all 14 atoms:
Cr 0.750 0.584 0.334  1.25
Cr 0.250 0.916 0.166  1.25
Cr 0.666 0.750 0.916  1.25
Cr 0.834 0.250 0.584  1.25
Cr 0.416 0.166 0.750  1.25
Cr 0.084 0.334 0.250  1.25
Ir 0.000 0.000 0.810  -0.15
Ir 0.500 0.810 0.500  -0.15
Ir 0.190 0.690 0.690  -0.15
Ir 0.310 0.500 0.000  -0.15
Ru 0.500 0.389 0.500  -0.26
Ru 0.000 0.000 0.389  -0.26
Ru 0.611 0.111 0.111  -0.26
Ru 0.889 0.500 0.000  -0.26

Summary:
Its volume is 14.09 Å³ per atom. The crystal system is cubic. As for the calculated density: 12.50 g/cm3. The calculation puts the formation energy from the elements at 0.347 eV per atom.

=====

10.
VASP calculation (PBE) on an optimized crystal structure of CrIr5Ru2.

a = 5.468 Å, b = 5.468 Å, c = 5.134 Å
α = 105.38°, β = 105.38°, γ = 120.14°
Site moments in Bohr magnetons follow the coordinates.
Fractional coordinates of all 8 atoms:
Cr 0.821 0.735 0.000  1.26
Ir 0.237 0.318 0.500  -0.08
Ir 0.319 0.738 0.000  -0.08
Ir 0.818 0.237 0.000  -0.08
Ir 0.737 0.818 0.500  -0.08
Ir 0.321 0.235 0.000  -0.02
Ru 0.232 0.819 0.495  -0.05
Ru 0.737 0.323 0.505  -0.05

Summary:
Its volume is 14.06 Å³ per atom. The crystal system is orthorhombic. The calculation puts the polymorph energy (0 for the lowest one) at 0.00 eV/f.u. As for the calculated density: 17.95 g/cm3. The calculation puts the formation energy from the elements at -0.120 eV per atom.

=====

11.
VASP calculation (PBE) on an optimized crystal structure of CrIr2Ru.

a = 2.697 Å, b = 2.697 Å, c = 7.548 Å
α = 90.00°, β = 90.00°, γ = 90.00°
Site moments in Bohr magnetons follow the coordinates.
Fractional coordinates of all 4 atoms:
Ru 0.500 0.500 0.250  0.03
Ir 0.000 0.000 0.991  -0.03
Ir 0.000 0.000 0.509  -0.03
Cr 0.500 0.500 0.750  0.52

Summary:
Its volume is 13.72 Å³ per atom. The crystal system is tetragonal. The calculation puts the polymorph energy (0 for the lowest one) at 0.37 eV/f.u. As for the calculated density: 16.26 g/cm3. The calculation puts the formation energy from the elements at -0.088 eV per atom.

=====

12.
VASP calculation (PBE) on an optimized crystal structure of CrIr3Ru2.

a = 3.819 Å, b = 6.057 Å, c = 8.531 Å
α = 81.89°, β = 63.42°, γ = 71.63°
Site moments in Bohr magnetons follow the coordinates.
Fractional coordinates of all 12 atoms:
Cr 0.662 0.676 0.000  1.42
Cr 0.338 0.324 0.000  1.42
Ir 0.413 0.664 0.755  -0.08
Ir 0.252 0.000 0.247  -0.08
Ir 0.587 0.336 0.245  -0.08
Ir 0.923 0.664 0.245  -0.08
Ir 0.077 0.336 0.755  -0.08
Ir 0.748 0.000 0.753  -0.08
Ru 0.000 0.000 0.000  -0.23
Ru 0.500 0.000 0.500  -0.04
Ru 0.167 0.666 0.500  0.04
Ru 0.833 0.334 0.500  0.04

Summary:
Its volume is 13.96 Å³ per atom. The crystal system is orthorhombic. The calculation puts the polymorph energy (0 for the lowest one) at 0.00 eV/f.u. As for the calculated density: 16.47 g/cm3. The calculation puts the formation energy from the elements at -0.082 eV per atom.

=====

Q: Which E values were calculated for the entries above? A: -8.86, -9.24, -9.18, -9.26, -9.12, -8.77, -8.68, -9.37, -8.96, -9.18, -9.24, -9.21, in eV/atom.